Here is a relaxed Mg2ScWO6 crystal from the Alexandria database. Energies are from PBE with a Hubbard U.

abc: 5.2314 5.2671 5.6152
angles: 62.18 62.81 60.47
With the nearest neighbours (Å) after each atom.
Fractional coordinates of all 10 atoms:
Mg 0.0000 0.0000 0.0000  6 O 2.04-2.27
Mg 0.4992 0.4839 0.5101  5 O 2.04-2.19
Sc 0.2883 0.2815 0.1409  6 O 2.04-2.26
W 0.7913 0.7918 0.6206  6 O 1.92-2.08
O 0.0534 0.6931 0.8280  1 W 1.92, 1 Mg 2.09
O 0.1774 0.5807 0.3376  1 Sc 2.04, 2 Mg 2.05-2.24, 1 W 2.08
O 0.4062 0.0712 0.8251  1 W 2.02, 2 Mg 2.04-2.18, 1 Sc 2.22
O 0.5859 0.8854 0.3449  1 W 2.02, 1 Mg 2.07, 1 Sc 2.07
O 0.6814 0.4070 0.8299  1 W 2.03, 2 Mg 2.08-2.19, 1 Sc 2.17
O 0.8906 0.1793 0.3328  2 Mg 2.04-2.20, 1 W 2.06, 1 Sc 2.07

## Properties
N(E_F), states/eV per cell: 0.00
Total energy, eV/atom: -7.333